# CePuIn2 | the Alexandria database | PBE | optimized geometry
data_CePuIn2
_symmetry_space_group_name_H-M 'P 4/m m m'
_symmetry_Int_Tables_number 123
_symmetry_space_group_name_Hall '-P 4 2'
_cell_length_a 3.265
_cell_length_b 3.265
_cell_length_c 9.814
_cell_angle_alpha 90.00
_cell_angle_beta 90.00
_cell_angle_gamma 90.00
loop_
_atom_site_label
_atom_site_fract_x
_atom_site_fract_y
_atom_site_fract_z
_atom_site_occupancy
Ce1 0.000 0.000 0.000 1
Pu1 0.000 0.000 0.500 1
In1 0.500 0.500 0.252 1
# calculated formation energy = -0.2704 eV/atom
# calculated volume = 104.60 Å³/f.u.
# total magnetic moment = 1.283 μB per atom
# energy relative to the lowest polymorph listed for this composition = 24 meV per atom

***

# Ce2PuIn | the Alexandria database | PBE | optimized geometry
data_Ce2PuIn
_symmetry_space_group_name_H-M 'C m m m'
_symmetry_Int_Tables_number 65
_symmetry_space_group_name_Hall '-C 2 2'
_cell_length_a 7.694
_cell_length_b 7.706
_cell_length_c 3.648
_cell_angle_alpha 90.00
_cell_angle_beta 90.00
_cell_angle_gamma 90.00
loop_
_atom_site_label
_atom_site_fract_x
_atom_site_fract_y
_atom_site_fract_z
_atom_site_occupancy
Ce1 0.250 0.250 0.000 1
Pu1 0.000 0.000 0.500 1
In1 0.000 0.500 0.500 1
# calculated formation energy = -0.1315 eV/atom
# calculated volume = 108.14 Å³/f.u.
# total magnetic moment = 1.793 μB per atom
# energy relative to the lowest polymorph listed for this composition = 47 meV per atom

***

# Ce2PuIn | the Alexandria database | PBE | optimized geometry
data_Ce2PuIn
_symmetry_space_group_name_H-M 'F m -3 m'
_symmetry_Int_Tables_number 225
_symmetry_space_group_name_Hall '-F 4 2 3'
_cell_length_a 7.589
_cell_length_b 7.589
_cell_length_c 7.589
_cell_angle_alpha 90.00
_cell_angle_beta 90.00
_cell_angle_gamma 90.00
loop_
_atom_site_label
_atom_site_fract_x
_atom_site_fract_y
_atom_site_fract_z
_atom_site_occupancy
Ce1 0.250 0.250 0.250 1
Pu1 0.000 0.000 0.000 1
In1 0.000 0.000 0.500 1
# calculated formation energy = -0.1419 eV/atom
# calculated volume = 109.27 Å³/f.u.
# total magnetic moment = 2.213 μB per atom
# energy relative to the lowest polymorph listed for this composition = 37 meV per atom

***

# Ce5Pu2In2 | the Alexandria database | PBE | optimized geometry
data_Ce5Pu2In2
_symmetry_space_group_name_H-M 'I m a 2'
_symmetry_Int_Tables_number 46
_symmetry_space_group_name_Hall 'I 2 -2a'
_cell_length_a 15.944
_cell_length_b 10.226
_cell_length_c 6.041
_cell_angle_alpha 90.00
_cell_angle_beta 90.00
_cell_angle_gamma 90.00
loop_
_atom_site_label
_atom_site_fract_x
_atom_site_fract_y
_atom_site_fract_z
_atom_site_occupancy
Ce1 0.059 0.223 0.000 1
Ce2 0.142 0.646 0.679 1
Ce3 0.250 0.126 0.406 1
Pu1 0.000 0.000 0.206 1
Pu2 0.250 0.015 0.015 1
In1 0.091 0.541 0.187 1
# calculated formation energy = -0.0315 eV/atom
# calculated volume = 246.25 Å³/f.u.
# total magnetic moment = 1.336 μB per atom

***

# CePuIn3 | the Alexandria database | PBE | optimized geometry
data_CePuIn3
_symmetry_space_group_name_H-M 'P 63/m m c'
_symmetry_Int_Tables_number 194
_symmetry_space_group_name_Hall '-P 6c 2c'
_cell_length_a 7.5886
_cell_length_b 7.5886
_cell_length_c 5.9679
_cell_angle_alpha 90.00
_cell_angle_beta 90.00
_cell_angle_gamma 120.00
loop_
_atom_site_label
_atom_site_fract_x
_atom_site_fract_y
_atom_site_fract_z
_atom_site_occupancy
Ce1 0.3333 0.6667 0.2500 1
Pu1 0.0000 0.0000 0.0000 1
In1 0.2040 0.4079 0.7500 1
# calculated formation energy = -0.0366 eV/atom
# calculated volume = 148.82 Å³/f.u.
# total magnetic moment = 1.370 μB per atom

***

# Ce2PuIn | the Alexandria database | PBE | optimized geometry
data_Ce2PuIn
_symmetry_space_group_name_H-M 'P 4/m m m'
_symmetry_Int_Tables_number 123
_symmetry_space_group_name_Hall '-P 4 2'
_cell_length_a 3.894
_cell_length_b 3.894
_cell_length_c 7.183
_cell_angle_alpha 90.00
_cell_angle_beta 90.00
_cell_angle_gamma 90.00
loop_
_atom_site_label
_atom_site_fract_x
_atom_site_fract_y
_atom_site_fract_z
_atom_site_occupancy
Ce1 0.000 0.000 0.241 1
Pu1 0.500 0.500 0.000 1
In1 0.500 0.500 0.500 1
# calculated formation energy = -0.0927 eV/atom
# calculated volume = 108.90 Å³/f.u.
# total magnetic moment = 2.068 μB per atom
# energy relative to the lowest polymorph listed for this composition = 86 meV per atom

***

# CePuIn2 | the Alexandria database | PBE | optimized geometry
data_CePuIn2
_symmetry_space_group_name_H-M 'R 3 m'
_symmetry_Int_Tables_number 160
_symmetry_space_group_name_Hall 'R 3 -2"'
_cell_length_a 5.2007
_cell_length_b 5.2007
_cell_length_c 15.2471
_cell_angle_alpha 90.00
_cell_angle_beta 90.00
_cell_angle_gamma 120.00
loop_
_atom_site_label
_atom_site_fract_x
_atom_site_fract_y
_atom_site_fract_z
_atom_site_occupancy
Ce1 0.0000 0.0000 0.0000 1
Pu1 0.0000 0.0000 0.1752 1
In1 0.0000 0.0000 0.4034 1
In2 0.0000 0.0000 0.6002 1
# calculated formation energy = 0.0339 eV/atom
# calculated volume = 119.05 Å³/f.u.
# total magnetic moment = 1.646 μB per atom
# energy relative to the lowest polymorph listed for this composition = 329 meV per atom

***

# Ce5PuIn6 | the Alexandria database | PBE | optimized geometry
data_Ce5PuIn6
_symmetry_space_group_name_H-M 'C 1 2/m 1'
_symmetry_Int_Tables_number 12
_symmetry_space_group_name_Hall '-C 2y'
_cell_length_a 14.924
_cell_length_b 9.618
_cell_length_c 4.735
_cell_angle_alpha 90.00
_cell_angle_beta 108.29
_cell_angle_gamma 90.00
loop_
_atom_site_label
_atom_site_fract_x
_atom_site_fract_y
_atom_site_fract_z
_atom_site_occupancy
Ce1 0.000 0.000 0.000 1
Ce2 0.159 0.500 0.659 1
Ce3 0.166 0.000 0.666 1
Pu1 0.000 0.500 0.000 1
In1 0.000 0.248 0.500 1
In2 0.168 0.249 0.168 1
# calculated formation energy = -0.3408 eV/atom
# calculated volume = 322.71 Å³/f.u.
# total magnetic moment = 0.932 μB per atom

***

Question: What is the total magnetic moment in the sixth record?
Answer: 2.068 μB per atom